Entry 1:
# KLaN2F GGA-PBE relaxed
data_KLaN2F
_symmetry_space_group_name_H-M 'P 4/m m m'
_symmetry_Int_Tables_number 123
_symmetry_space_group_name_Hall '-P 4 2'
_cell_length_a 4.4114
_cell_length_b 4.4114
_cell_length_c 4.9439
_cell_angle_alpha 90.00
_cell_angle_beta 90.00
_cell_angle_gamma 90.00
loop_
_atom_site_label
_atom_site_type_symbol
_atom_site_fract_x
_atom_site_fract_y
_atom_site_fract_z
K1 K 0.0000 0.0000 0.0000
La1 La 0.5000 0.5000 0.5000
N1 N 0.0000 0.5000 0.5000
F1 F 0.5000 0.5000 0.0000
# **Calculated total energy**: -5.561 eV per atom
# **Distance to the lowest polymorph of the same formula**: 0 meV/atom
# **V**: 19.24 A^3/atom
# **ΔE_f (raw)**: -0.651 eV/atom
# **Total magnetization**: 0.07 μB/atom

***

Entry 2:
# Pm3Pr5Y2 GGA-PBE relaxed
data_Pm3Pr5Y2
_symmetry_space_group_name_H-M 'C 1 2/c 1'
_symmetry_Int_Tables_number 15
_cell_length_a 10.9145
_cell_length_b 14.8932
_cell_length_c 10.2787
_cell_angle_alpha 90.00
_cell_angle_beta 122.05
_cell_angle_gamma 90.00
loop_
_symmetry_equiv_pos_as_xyz
'x,y,z'
'-x,-y,-z'
'-x,y,-z+1/2'
'x,-y,z+1/2'
'x+1/2,y+1/2,z'
'-x+1/2,-y+1/2,-z'
'-x+1/2,y+1/2,-z+1/2'
'x+1/2,-y+1/2,z+1/2'
loop_
_atom_site_label
_atom_site_type_symbol
_atom_site_fract_x
_atom_site_fract_y
_atom_site_fract_z
Pm1 Pm 0.0000 0.2300 0.2500
Pm2 Pm 0.1533 0.1250 0.0586
Pr1 Pr 0.0000 0.0204 0.2500
Pr2 Pr 0.0000 0.2702 0.7500
Pr3 Pr 0.0000 0.4803 0.7500
Pr4 Pr 0.2477 0.3739 0.2487
Y1 Y 0.1552 0.3735 0.5579
# **Calculated total energy**: -4.945 eV per atom
# **Distance to the lowest polymorph of the same formula**: 0 meV/atom
# **V**: 35.40 A^3/atom
# **DFT formation energy**: 0.163 eV per atom
# **Total magnetization**: 0.00 μB/atom

***

Entry 3:
# CdNiP2 GGA-PBE relaxed
data_CdNiP2
_symmetry_space_group_name_H-M 'P 4/m m m'
_symmetry_Int_Tables_number 123
_symmetry_space_group_name_Hall '-P 4 2'
_cell_length_a 3.4240
_cell_length_b 3.4240
_cell_length_c 5.4432
_cell_angle_alpha 90.00
_cell_angle_beta 90.00
_cell_angle_gamma 90.00
loop_
_atom_site_label
_atom_site_type_symbol
_atom_site_fract_x
_atom_site_fract_y
_atom_site_fract_z
Cd1 Cd 0.0000 0.0000 0.0000
Ni1 Ni 0.0000 0.0000 0.5000
P1 P 0.5000 0.5000 0.3079
# **Calculated total energy**: -4.228 eV per atom
# **V**: 15.95 A^3/atom
# **DFT formation energy**: 0.151 eV per atom
# **Total magnetization**: 0.00 μB/atom

***

Entry 4:
# Ca2GePbO GGA-PBE relaxed
data_Ca2GePbO
_symmetry_space_group_name_H-M 'P 4/m m m'
_symmetry_Int_Tables_number 123
_symmetry_space_group_name_Hall '-P 4 2'
_cell_length_a 6.1128
_cell_length_b 6.1128
_cell_length_c 4.2998
_cell_angle_alpha 90.00
_cell_angle_beta 90.00
_cell_angle_gamma 90.00
loop_
_atom_site_label
_atom_site_type_symbol
_atom_site_fract_x
_atom_site_fract_y
_atom_site_fract_z
Ca1 Ca 0.0000 0.5000 0.0000
Ge1 Ge 0.0000 0.0000 0.5000
Pb1 Pb 0.5000 0.5000 0.0000
O1 O 0.5000 0.5000 0.5000
# **Calculated total energy**: -3.378 eV per atom
# **V**: 32.13 A^3/atom
# **ΔE_f (raw)**: 0.080 eV/atom
# **Total magnetization**: 0.09 μB/atom

***

Entry 5:
# Tm3Fe2Ni7 GGA-PBE relaxed
data_Tm3Fe2Ni7
_symmetry_space_group_name_H-M 'R -3 m'
_symmetry_Int_Tables_number 166
_symmetry_space_group_name_Hall '-R 3 2"'
_cell_length_a 4.9664
_cell_length_b 4.9664
_cell_length_c 24.2083
_cell_angle_alpha 90.00
_cell_angle_beta 90.00
_cell_angle_gamma 120.00
loop_
_atom_site_label
_atom_site_type_symbol
_atom_site_fract_x
_atom_site_fract_y
_atom_site_fract_z
Tm1 Tm 0.0000 0.0000 0.0000
Tm2 Tm 0.0000 0.0000 0.1388
Fe1 Fe 0.0000 0.0000 0.3330
Ni1 Ni 0.0000 0.0000 0.5000
Ni2 Ni 0.0000 0.5000 0.0818
# **Calculated total energy**: -6.285 eV per atom
# **V**: 14.36 A^3/atom
# **DFT formation energy**: -0.384 eV per atom
# **Total magnetization**: 0.52 μB/atom

***

Entry 6:
# SrAc5Hg6 GGA-PBE relaxed
data_SrAc5Hg6
_symmetry_space_group_name_H-M 'C m m m'
_symmetry_Int_Tables_number 65
_symmetry_space_group_name_Hall '-C 2 2'
_cell_length_a 5.7074
_cell_length_b 17.1463
_cell_length_c 8.0888
_cell_angle_alpha 90.00
_cell_angle_beta 90.00
_cell_angle_gamma 90.00
loop_
_atom_site_label
_atom_site_type_symbol
_atom_site_fract_x
_atom_site_fract_y
_atom_site_fract_z
Sr1 Sr 0.0000 0.0000 0.0000
Ac1 Ac 0.0000 0.0000 0.5000
Ac2 Ac 0.0000 0.3330 0.5000
Ac3 Ac 0.0000 0.3354 0.0000
Hg1 Hg 0.0000 0.1668 0.2490
Hg2 Hg 0.0000 0.5000 0.2493
# **Calculated total energy**: -2.494 eV per atom
# **V**: 32.98 A^3/atom
# **DFT formation energy**: -0.492 eV per atom
# **Total magnetization**: 0.05 μB/atom

***

Entry 7:
# NaCd3 GGA-PBE relaxed
data_NaCd3
_symmetry_space_group_name_H-M 'P m -3 m'
_symmetry_Int_Tables_number 221
_symmetry_space_group_name_Hall '-P 4 2 3'
_cell_length_a 4.5618
_cell_length_b 4.5618
_cell_length_c 4.5618
_cell_angle_alpha 90.00
_cell_angle_beta 90.00
_cell_angle_gamma 90.00
loop_
_atom_site_label
_atom_site_type_symbol
_atom_site_fract_x
_atom_site_fract_y
_atom_site_fract_z
Na1 Na 0.0000 0.0000 0.0000
Cd1 Cd 0.0000 0.5000 0.5000
# **Calculated total energy**: -1.085 eV per atom
# **V**: 23.73 A^3/atom
# **DFT formation energy**: -0.069 eV per atom
# **Total magnetization**: 0.00 μB/atom

***

Entry 8:
# Tb5Th GGA-PBE relaxed
data_Tb5Th
_symmetry_space_group_name_H-M 'C m m m'
_symmetry_Int_Tables_number 65
_symmetry_space_group_name_Hall '-C 2 2'
_cell_length_a 5.0409
_cell_length_b 15.1049
_cell_length_c 5.0506
_cell_angle_alpha 90.00
_cell_angle_beta 90.00
_cell_angle_gamma 90.00
loop_
_atom_site_label
_atom_site_type_symbol
_atom_site_fract_x
_atom_site_fract_y
_atom_site_fract_z
Tb1 Tb 0.0000 0.0000 0.0000
Tb2 Tb 0.0000 0.1655 0.5000
Tb3 Tb 0.0000 0.3365 0.0000
Th1 Th 0.0000 0.5000 0.5000
# **Calculated total energy**: -5.061 eV per atom
# **Distance to the lowest polymorph of the same formula**: 15 meV/atom
# **V**: 32.05 A^3/atom
# **DFT formation energy**: 0.034 eV per atom
# **Total magnetization**: 0.00 μB/atom

***

Entry 9:
# Ag2SeI GGA-PBE relaxed
data_Ag2SeI
_symmetry_space_group_name_H-M 'F m -3 m'
_symmetry_Int_Tables_number 225
_symmetry_space_group_name_Hall '-F 4 2 3'
_cell_length_a 7.2463
_cell_length_b 7.2463
_cell_length_c 7.2463
_cell_angle_alpha 90.00
_cell_angle_beta 90.00
_cell_angle_gamma 90.00
loop_
_atom_site_label
_atom_site_type_symbol
_atom_site_fract_x
_atom_site_fract_y
_atom_site_fract_z
Ag1 Ag 0.2500 0.2500 0.2500
Se1 Se 0.0000 0.0000 0.0000
I1 I 0.0000 0.0000 0.5000
# **Calculated total energy**: -2.387 eV per atom
# **Distance to the lowest polymorph of the same formula**: 352 meV/atom
# **V**: 23.78 A^3/atom
# **ΔE_f (raw)**: 0.298 eV/atom
# **Total magnetization**: 0.00 μB/atom

***

Entry 10:
# Ho2ErC GGA-PBE relaxed
data_Ho2ErC
_symmetry_space_group_name_H-M 'R -3 m'
_symmetry_Int_Tables_number 166
_symmetry_space_group_name_Hall '-R 3 2"'
_cell_length_a 3.5147
_cell_length_b 3.5147
_cell_length_c 28.6077
_cell_angle_alpha 90.00
_cell_angle_beta 90.00
_cell_angle_gamma 120.00
loop_
_atom_site_label
_atom_site_type_symbol
_atom_site_fract_x
_atom_site_fract_y
_atom_site_fract_z
Ho1 Ho 0.0000 0.0000 0.1200
Er1 Er 0.0000 0.0000 0.0000
C1 C 0.0000 0.0000 0.5000
# **Calculated total energy**: -5.813 eV per atom
# **V**: 25.50 A^3/atom
# **DFT formation energy**: -0.077 eV per atom
# **Total magnetization**: 0.13 μB/atom

***

Entry 11:
# La2MgW GGA-PBE relaxed
data_La2MgW
_symmetry_space_group_name_H-M 'C m m m'
_symmetry_Int_Tables_number 65
_symmetry_space_group_name_Hall '-C 2 2'
_cell_length_a 7.4091
_cell_length_b 8.5907
_cell_length_c 3.3192
_cell_angle_alpha 90.00
_cell_angle_beta 90.00
_cell_angle_gamma 90.00
loop_
_atom_site_label
_atom_site_type_symbol
_atom_site_fract_x
_atom_site_fract_y
_atom_site_fract_z
La1 La 0.2500 0.2500 0.0000
Mg1 Mg 0.0000 0.0000 0.5000
W1 W 0.0000 0.5000 0.5000
# **Calculated total energy**: -5.557 eV per atom
# **Distance to the lowest polymorph of the same formula**: 158 meV/atom
# **V**: 26.41 A^3/atom
# **DFT formation energy**: 0.544 eV per atom
# **Total magnetization**: 0.00 μB/atom

***

Entry 12:
# NaPr2Hg GGA-PBE relaxed
data_NaPr2Hg
_symmetry_space_group_name_H-M 'P 4/m m m'
_symmetry_Int_Tables_number 123
_symmetry_space_group_name_Hall '-P 4 2'
_cell_length_a 5.4451
_cell_length_b 5.4451
_cell_length_c 4.0816
_cell_angle_alpha 90.00
_cell_angle_beta 90.00
_cell_angle_gamma 90.00
loop_
_atom_site_label
_atom_site_type_symbol
_atom_site_fract_x
_atom_site_fract_y
_atom_site_fract_z
Na1 Na 0.0000 0.0000 0.0000
Pr1 Pr 0.0000 0.5000 0.5000
Hg1 Hg 0.5000 0.5000 0.0000
# **Calculated total energy**: -2.890 eV per atom
# **Distance to the lowest polymorph of the same formula**: 12 meV/atom
# **V**: 30.25 A^3/atom
# **DFT formation energy**: -0.095 eV per atom
# **Total magnetization**: 0.07 μB/atom